# Li2RhAu4 (PBE, optimized geometry)
data_Li2RhAu4
_cell_length_a 5.632
_cell_length_b 5.632
_cell_length_c 7.704
_cell_angle_alpha 90.00
_cell_angle_beta 90.00
_cell_angle_gamma 90.00
_symmetry_space_group_name_H-M 'I 4/m m m'
_symmetry_Int_Tables_number 139
_symmetry_space_group_name_Hall '-I 4 2'
loop_
_atom_site_label
_atom_site_fract_x
_atom_site_fract_y
_atom_site_fract_z
Li1 0.000 0.500 0.000
Rh1 0.000 0.000 0.000
Au1 0.250 0.250 0.250
# ΔE_f (eV per atom): -0.2687
# DOS at the Fermi energy (states/eV/cell): 5.70
# Volume (Å³ per atom): 17.45

# LiRh2Au (PBE, optimized geometry)
data_LiRh2Au
_cell_length_a 2.776
_cell_length_b 3.866
_cell_length_c 5.546
_cell_angle_alpha 90.00
_cell_angle_beta 90.12
_cell_angle_gamma 90.00
_symmetry_space_group_name_H-M 'P 1 m 1'
_symmetry_Int_Tables_number 6
loop_
_symmetry_equiv_pos_as_xyz
'x,y,z'
'x,-y,z'
loop_
_atom_site_label
_atom_site_fract_x
_atom_site_fract_y
_atom_site_fract_z
Li1 0.000 0.000 0.000
Rh1 0.499 0.500 0.723
Rh2 0.999 0.000 0.529
Au1 0.499 0.500 0.222
# ΔE_f (eV per atom): -0.1011
# DOS at the Fermi energy (states/eV/cell): 4.33
# Energy above the most stable polymorph in this dataset (meV per atom): 0
# Volume (Å³ per atom): 14.88

# Li6RhAu (PBE, optimized geometry)
data_Li6RhAu
_cell_length_a 4.339
_cell_length_b 8.309
_cell_length_c 6.559
_cell_angle_alpha 90.00
_cell_angle_beta 90.00
_cell_angle_gamma 90.00
_symmetry_space_group_name_H-M 'A m m 2'
_symmetry_Int_Tables_number 38
loop_
_symmetry_equiv_pos_as_xyz
'x,y,z'
'-x,-y,z'
'-x,y,z'
'x,-y,z'
'x,y+1/2,z+1/2'
'-x,-y+1/2,z+1/2'
'-x,y+1/2,z+1/2'
'x,-y+1/2,z+1/2'
loop_
_atom_site_label
_atom_site_fract_x
_atom_site_fract_y
_atom_site_fract_z
Li1 0.000 0.000 0.000
Li2 0.000 0.215 0.732
Li3 0.500 0.000 0.196
Li4 0.500 0.223 0.471
Rh1 0.500 0.000 0.753
Au1 0.000 0.000 0.444
# ΔE_f (eV per atom): -0.2158
# DOS at the Fermi energy (states/eV/cell): 6.97
# Energy above the most stable polymorph in this dataset (meV per atom): 0
# Volume (Å³ per atom): 14.78

# LiRh2Au (PBE, optimized geometry)
data_LiRh2Au
_cell_length_a 5.521
_cell_length_b 5.532
_cell_length_c 7.646
_cell_angle_alpha 90.00
_cell_angle_beta 90.00
_cell_angle_gamma 90.00
_symmetry_space_group_name_H-M 'F 2 2 2'
_symmetry_Int_Tables_number 22
_symmetry_space_group_name_Hall 'F 2 2'
loop_
_atom_site_label
_atom_site_fract_x
_atom_site_fract_y
_atom_site_fract_z
Li1 0.000 0.000 0.000
Rh1 0.000 0.000 0.500
Rh2 0.250 0.250 0.250
Au1 0.250 0.250 0.750
# ΔE_f (eV per atom): -0.0591
# DOS at the Fermi energy (states/eV/cell): 18.94
# Energy above the most stable polymorph in this dataset (meV per atom): 42
# Volume (Å³ per atom): 14.60

# LiSbRhAu (PBE, optimized geometry)
data_LiSbRhAu
_cell_length_a 6.462
_cell_length_b 6.462
_cell_length_c 6.462
_cell_angle_alpha 90.00
_cell_angle_beta 90.00
_cell_angle_gamma 90.00
_symmetry_space_group_name_H-M 'F -4 3 m'
_symmetry_Int_Tables_number 216
_symmetry_space_group_name_Hall 'F -4 2 3'
loop_
_atom_site_label
_atom_site_fract_x
_atom_site_fract_y
_atom_site_fract_z
Li1 0.000 0.000 0.000
Sb1 0.250 0.250 0.250
Rh1 0.000 0.000 0.500
Au1 0.250 0.250 0.750
# Uncorrected energy (Ry/atom): -0.331
# DOS at the Fermi energy (states/eV/cell): 9.11
# Volume (Å³ per atom): 16.87

# LiTaRh2Au (PBE, optimized geometry)
data_LiTaRh2Au
_cell_length_a 4.166
_cell_length_b 4.166
_cell_length_c 4.324
_cell_angle_alpha 90.00
_cell_angle_beta 90.00
_cell_angle_gamma 90.00
_symmetry_space_group_name_H-M 'P 4/m m m'
_symmetry_Int_Tables_number 123
_symmetry_space_group_name_Hall '-P 4 2'
loop_
_atom_site_label
_atom_site_fract_x
_atom_site_fract_y
_atom_site_fract_z
Li1 0.000 0.000 0.000
Ta1 0.000 0.000 0.500
Rh1 0.000 0.500 0.000
Au1 0.500 0.500 0.500
# ΔE_f (eV per atom): 0.6133
# DOS at the Fermi energy (states/eV/cell): 6.61
# Volume (Å³ per atom): 15.01

# Li2TcRhAu (PBE, optimized geometry)
data_Li2TcRhAu
_cell_length_a 4.327
_cell_length_b 4.327
_cell_length_c 5.146
_cell_angle_alpha 90.00
_cell_angle_beta 90.00
_cell_angle_gamma 90.00
_symmetry_space_group_name_H-M 'P 4/m m m'
_symmetry_Int_Tables_number 123
_symmetry_space_group_name_Hall '-P 4 2'
loop_
_atom_site_label
_atom_site_fract_x
_atom_site_fract_y
_atom_site_fract_z
Li1 0.000 0.500 0.000
Tc1 0.000 0.000 0.500
Rh1 0.500 0.500 0.500
Au1 0.500 0.500 0.000
# ΔE_f (eV per atom): 0.8812
# DOS at the Fermi energy (states/eV/cell): 3.15
# Volume (Å³ per atom): 19.27

# LiThRhAu (PBE, optimized geometry)
data_LiThRhAu
_cell_length_a 6.897
_cell_length_b 6.897
_cell_length_c 6.897
_cell_angle_alpha 90.00
_cell_angle_beta 90.00
_cell_angle_gamma 90.00
_symmetry_space_group_name_H-M 'F -4 3 m'
_symmetry_Int_Tables_number 216
_symmetry_space_group_name_Hall 'F -4 2 3'
loop_
_atom_site_label
_atom_site_fract_x
_atom_site_fract_y
_atom_site_fract_z
Li1 0.000 0.000 0.000
Th1 0.000 0.000 0.500
Rh1 0.250 0.250 0.750
Au1 0.250 0.250 0.250
# ΔE_f (eV per atom): -0.5254
# DOS at the Fermi energy (states/eV/cell): 9.66
# Volume (Å³ per atom): 20.51

# LiVRhAu (PBE, optimized geometry)
data_LiVRhAu
_cell_length_a 6.128
_cell_length_b 6.128
_cell_length_c 6.128
_cell_angle_alpha 90.00
_cell_angle_beta 90.00
_cell_angle_gamma 90.00
_symmetry_space_group_name_H-M 'F -4 3 m'
_symmetry_Int_Tables_number 216
_symmetry_space_group_name_Hall 'F -4 2 3'
loop_
_atom_site_label
_atom_site_fract_x
_atom_site_fract_y
_atom_site_fract_z
Li1 0.000 0.000 0.000
V1 0.000 0.000 0.500
Rh1 0.250 0.250 0.250
Au1 0.250 0.250 0.750
# ΔE_f (eV per atom): -0.1810
# DOS at the Fermi energy (states/eV/cell): 19.75
# Volume (Å³ per atom): 14.38

# LiYRhAu (PBE, optimized geometry)
data_LiYRhAu
_cell_length_a 3.886
_cell_length_b 4.065
_cell_length_c 4.556
_cell_angle_alpha 90.00
_cell_angle_beta 90.00
_cell_angle_gamma 90.00
_symmetry_space_group_name_H-M 'P m m m'
_symmetry_Int_Tables_number 47
loop_
_symmetry_equiv_pos_as_xyz
'x,y,z'
'-x,-y,-z'
'-x,-y,z'
'x,y,-z'
'x,-y,-z'
'-x,y,z'
'-x,y,-z'
'x,-y,z'
loop_
_atom_site_label
_atom_site_fract_x
_atom_site_fract_y
_atom_site_fract_z
Li1 0.000 0.000 0.000
Y1 0.000 0.500 0.500
Rh1 0.500 0.000 0.500
Au1 0.500 0.500 0.000
# ΔE_f (eV per atom): -0.6215
# DOS at the Fermi energy (states/eV/cell): 0.90
# Volume (Å³ per atom): 17.99

# LiZn2RhAu (PBE, optimized geometry)
data_LiZn2RhAu
_cell_length_a 4.266
_cell_length_b 4.266
_cell_length_c 4.153
_cell_angle_alpha 90.00
_cell_angle_beta 90.00
_cell_angle_gamma 90.00
_symmetry_space_group_name_H-M 'P 4/m m m'
_symmetry_Int_Tables_number 123
_symmetry_space_group_name_Hall '-P 4 2'
loop_
_atom_site_label
_atom_site_fract_x
_atom_site_fract_y
_atom_site_fract_z
Li1 0.000 0.000 0.000
Zn1 0.000 0.500 0.000
Rh1 0.000 0.000 0.500
Au1 0.500 0.500 0.500
# ΔE_f (eV per atom): 0.3427
# DOS at the Fermi energy (states/eV/cell): 1.98
# Volume (Å³ per atom): 15.12

# Li2RuAu (PBE, optimized geometry)
data_Li2RuAu
_cell_length_a 2.699
_cell_length_b 4.841
_cell_length_c 9.038
_cell_angle_alpha 90.00
_cell_angle_beta 90.00
_cell_angle_gamma 90.00
_symmetry_space_group_name_H-M 'I m m m'
_symmetry_Int_Tables_number 71
_symmetry_space_group_name_Hall '-I 2 2'
loop_
_atom_site_label
_atom_site_fract_x
_atom_site_fract_y
_atom_site_fract_z
Li1 0.000 0.000 0.249
Ru1 0.000 0.500 0.000
Au1 0.000 0.500 0.500
# ΔE_f (eV per atom): -0.0279
# DOS at the Fermi energy (states/eV/cell): 2.35
# Energy above the most stable polymorph in this dataset (meV per atom): 39
# Volume (Å³ per atom): 14.76